Record 1
The following is a GGA-PBE calculation of a relaxed structure of TmCd9Ag2, from Alexandria via LeMat-Bulk.

Structure (POSCAR):
```
TmCd9Ag2
1.0
-5.932 5.932 3.756
5.932 -5.932 3.756
5.932 5.932 -3.756
Tm Cd Ag
2 18 4
Direct
0.375 0.625 0.750
0.625 0.375 0.250
0.120 0.552 0.328
0.120 0.792 0.568
0.125 0.875 0.250
0.208 0.276 0.328
0.208 0.880 0.932
0.276 0.208 0.828
0.276 0.448 0.068
0.448 0.276 0.568
0.448 0.880 0.172
0.552 0.120 0.828
0.552 0.724 0.432
0.724 0.552 0.932
0.724 0.792 0.172
0.792 0.120 0.068
0.792 0.724 0.672
0.875 0.125 0.750
0.880 0.208 0.432
0.880 0.448 0.672
0.000 0.000 0.000
0.000 0.000 0.500
0.000 0.500 0.000
0.500 0.000 0.500
```

* total DFT energy (no corrections): -1.60 eV per atom
* Fermi-level density of states: 3.02 states/eV/f.u.
* V: 22.026 Å³ per atom
* ΔH_f (0 K): -76 kJ/mol of formula units
* space group: No. 141
* magnetization: 0.0 μB per formula unit

Record 2
The following is a GGA-PBE calculation of a relaxed structure of TmCd4Ag5, from Alexandria via LeMat-Bulk.

Structure (POSCAR):
```
TmCd4Ag5
1.0
3.467 0.000 0.000
0.000 3.467 0.000
0.000 0.000 16.763
Tm Cd Ag
1 4 5
Direct
0.000 0.000 0.000
0.000 0.000 0.207
0.000 0.000 0.403
0.000 0.000 0.597
0.000 0.000 0.793
0.500 0.500 0.109
0.500 0.500 0.306
0.500 0.500 0.500
0.500 0.500 0.694
0.500 0.500 0.891
```

* total DFT energy (no corrections): -2.35 eV per atom
* Fermi-level density of states: 3.23 states/eV/f.u.
* V: 20.145 Å³ per atom
* ΔH_f (0 K): -105 kJ/mol of formula units
* space group: No. 123
* magnetization: 0.0 μB per formula unit

Record 3
The following is a GGA-PBE calculation of a relaxed structure of TmCd5Ag2, from Alexandria via LeMat-Bulk.

Structure (POSCAR):
```
TmCd5Ag2
1.0
-3.809 3.809 6.271
3.809 -3.809 6.271
3.809 3.809 -6.271
Tm Cd Ag
2 10 4
Direct
0.250 0.250 0.000
0.750 0.750 0.000
0.000 0.000 0.000
0.004 0.504 0.204
0.200 0.996 0.500
0.300 0.800 0.796
0.496 0.700 0.500
0.500 0.500 0.000
0.504 0.300 0.500
0.700 0.200 0.204
0.800 0.004 0.500
0.996 0.496 0.796
0.144 0.356 0.500
0.356 0.856 0.211
0.644 0.144 0.789
0.856 0.644 0.500
```

* total DFT energy (no corrections): -1.84 eV per atom
* Fermi-level density of states: 3.97 states/eV/f.u.
* V: 22.746 Å³ per atom
* ΔH_f (0 K): 3 kJ/mol of formula units
* space group: No. 140
* magnetization: 0.0 μB per formula unit

Record 4
The following is a GGA-PBE calculation of a relaxed structure of TmCd7Ag4, from Alexandria via LeMat-Bulk.

Structure (POSCAR):
```
TmCd7Ag4
1.0
5.720 -2.752 0.000
5.720 2.752 0.000
-5.580 0.000 8.689
Tm Cd Ag
1 7 4
Direct
0.000 0.000 0.000
0.046 0.046 0.375
0.215 0.215 0.903
0.338 0.338 0.432
0.500 0.500 0.000
0.662 0.662 0.568
0.785 0.785 0.097
0.954 0.954 0.625
0.288 0.288 0.679
0.423 0.423 0.225
0.577 0.577 0.775
0.712 0.712 0.321
```

* total DFT energy (no corrections): -1.77 eV per atom
* Fermi-level density of states: 5.02 states/eV/f.u.
* V: 22.796 Å³ per atom
* ΔH_f (0 K): 101 kJ/mol of formula units
* space group: No. 12
* magnetization: 0.0 μB per formula unit

Record 5
The following is a GGA-PBE calculation of a relaxed structure of TmCd2Ag8, from Alexandria via LeMat-Bulk.

Structure (POSCAR):
```
TmCd2Ag8
1.0
3.857 -7.215 0.000
3.857 7.215 0.000
-3.271 0.000 3.972
Tm Cd Ag
1 2 8
Direct
0.000 0.000 0.000
0.318 0.682 0.500
0.682 0.318 0.500
0.095 0.360 0.720
0.202 0.798 0.000
0.360 0.095 0.720
0.481 0.481 0.234
0.519 0.519 0.766
0.640 0.905 0.280
0.798 0.202 0.000
0.905 0.640 0.280
```

* total DFT energy (no corrections): -2.66 eV per atom
* Fermi-level density of states: 4.01 states/eV/f.u.
* V: 20.099 Å³ per atom
* ΔH_f (0 K): -13 kJ/mol of formula units
* space group: No. 12
* magnetization: 0.0 μB per formula unit
* relative energy among the computed polymorphs: 0.0902 eV/atom

Record 6
The following is a GGA-PBE calculation of a relaxed structure of Tm3Cd4Ag4, from Alexandria via LeMat-Bulk.

Structure (POSCAR):
```
Tm3Cd4Ag4
1.0
3.346 0.000 0.000
0.007 4.763 0.000
1.655 2.361 15.330
Tm Cd Ag
3 4 4
Direct
0.000 0.000 0.000
0.141 0.640 0.721
0.859 0.360 0.279
0.266 0.266 0.469
0.406 0.907 0.184
0.594 0.093 0.816
0.734 0.734 0.531
0.316 0.817 0.366
0.454 0.454 0.091
0.546 0.546 0.909
0.684 0.183 0.634
```

* total DFT energy (no corrections): -2.81 eV per atom
* Fermi-level density of states: 6.48 states/eV/f.u.
* V: 22.209 Å³ per atom
* ΔH_f (0 K): -239 kJ/mol of formula units
* space group: No. 2
* magnetization: 0.0 μB per formula unit
* relative energy among the computed polymorphs: 0.0000 eV/atom

Record 7
The following is a GGA-PBE calculation of a relaxed structure of Tm2CdAg6, from Alexandria via LeMat-Bulk.

Structure (POSCAR):
```
Tm2CdAg6
1.0
5.382 -3.100 0.000
5.382 3.100 0.000
-0.007 0.000 5.734
Tm Cd Ag
2 1 6
Direct
0.166 0.166 0.156
0.834 0.834 0.844
0.500 0.500 0.000
0.132 0.684 0.327
0.315 0.315 0.673
0.316 0.868 0.673
0.684 0.132 0.327
0.685 0.685 0.327
0.868 0.316 0.673
```

* total DFT energy (no corrections): -3.13 eV per atom
* Fermi-level density of states: 3.25 states/eV/f.u.
* V: 21.260 Å³ per atom
* ΔH_f (0 K): -116 kJ/mol of formula units
* space group: No. 12
* magnetization: 0.0 μB per formula unit
* relative energy among the computed polymorphs: 0.0217 eV/atom

Record 8
The following is a GGA-PBE calculation of a relaxed structure of Tm3Cd2Ag4, from Alexandria via LeMat-Bulk.

Structure (POSCAR):
```
Tm3Cd2Ag4
1.0
4.369 -2.516 0.000
4.369 2.516 0.000
-0.694 0.000 9.081
Tm Cd Ag
3 2 4
Direct
0.000 0.000 0.000
0.354 0.354 0.242
0.646 0.646 0.758
0.300 0.300 0.591
0.700 0.700 0.409
0.030 0.030 0.343
0.325 0.325 0.914
0.675 0.675 0.086
0.970 0.970 0.657
```

* total DFT energy (no corrections): -3.23 eV per atom
* Fermi-level density of states: 4.61 states/eV/f.u.
* V: 22.183 Å³ per atom
* ΔH_f (0 K): -236 kJ/mol of formula units
* space group: No. 12
* magnetization: 0.0 μB per formula unit
* relative energy among the computed polymorphs: 0.0000 eV/atom